#a
Computed, not measured: a relaxed structure of Nd2Mg3Cd4 at the PBE level of DFT.

Values from the calculation:
The value obtained for the magnetic moment is 0.00 μB/f.u. For the density of states at the Fermi level, the calculation gives 3.9 states/eV per cell. The value obtained for the theoretical density is 6.01 g/cm³. As for the crystal system: monoclinic.

a = 5.1308 Å, b = 5.1308 Å, c = 9.8274 Å
α = 90.21°, β = 90.21°, γ = 60.04°
Closest atoms and distances in Å follow each position.
Fractional positions:
Nd 0.3344 0.3344 0.2121  7 Cd 3.12-3.26
Nd 0.6656 0.6656 0.7879  7 Cd 3.12-3.26
Mg 0.3316 0.3316 0.5698  4 Cd 3.06-3.19, 3 Mg 3.25-3.30
Mg 0.0000 0.0000 0.0000  8 Cd 3.14-3.44
Mg 0.6684 0.6684 0.4302  4 Cd 3.06-3.19, 3 Mg 3.25-3.30
Cd 0.6672 0.6672 0.1056  4 Nd 3.12-3.14, 4 Mg 3.14-3.19
Cd 0.9977 0.9977 0.6504  1 Cd 2.96, 3 Mg 3.06-3.07, 3 Nd 3.25-3.26
Cd 0.0023 0.0023 0.3496  1 Cd 2.96, 3 Mg 3.06-3.07, 3 Nd 3.25-3.26
Cd 0.3328 0.3328 0.8944  4 Nd 3.12-3.14, 4 Mg 3.14-3.19



#b
Computed, not measured: a relaxed structure of Nd2Mg3Cd4 at the PBE level of DFT.

Values from the calculation:
The value obtained for the magnetic moment is 0.00 μB/f.u. For the density of states at the Fermi level, the calculation gives 15.1 states/eV per cell. The value obtained for the theoretical density is 5.94 g/cm³. As for the crystal system: orthorhombic.

a = 6.1830 Å, b = 8.5769 Å, c = 9.0868 Å
α = 90.00°, β = 109.89°, γ = 90.00°
Closest atoms and distances in Å follow each position.
Fractional positions:
Nd 0.0991 0.6002 0.1982  7 Cd 3.41-3.50, 4 Mg 3.48-3.63, 1 Nd 3.80
Nd 0.9009 0.3998 0.8018  7 Cd 3.41-3.50, 4 Mg 3.48-3.63, 1 Nd 3.80
Nd 0.4009 0.1002 0.8018  7 Cd 3.41-3.50, 4 Mg 3.48-3.63, 1 Nd 3.80
Nd 0.5991 0.8998 0.1982  7 Cd 3.41-3.50, 4 Mg 3.48-3.63, 1 Nd 3.80
Mg 0.0000 0.0000 0.0000  6 Cd 2.87-2.97
Mg 0.5000 0.5000 0.0000  6 Cd 2.87-2.97
Mg 0.5152 0.7500 0.5304  5 Cd 2.90-2.97, 2 Mg 3.09
Mg 0.9848 0.2500 0.4696  5 Cd 2.90-2.97, 2 Mg 3.09
Mg 0.4848 0.2500 0.4696  5 Cd 2.90-2.97, 2 Mg 3.09
Mg 0.0152 0.7500 0.5304  5 Cd 2.90-2.97, 2 Mg 3.09
Cd 0.6847 0.7500 0.8694  3 Mg 2.87-2.90, 2 Cd 3.09
Cd 0.8153 0.2500 0.1306  3 Mg 2.87-2.90, 2 Cd 3.09
Cd 0.3153 0.2500 0.1306  3 Mg 2.87-2.90, 2 Cd 3.09
Cd 0.1847 0.7500 0.8694  3 Mg 2.87-2.90, 2 Cd 3.09
Cd 0.1735 0.9801 0.3470  5 Mg 2.96-2.97
Cd 0.8265 0.0199 0.6530  5 Mg 2.96-2.97
Cd 0.3265 0.4801 0.6530  5 Mg 2.96-2.97
Cd 0.6735 0.5199 0.3470  5 Mg 2.96-2.97



Which of them is the most stable, and which is the least stable? #a and #b, in that order.



#a
Computed, not measured: a relaxed structure of NdMgCd4 at the PBE level of DFT.

Values from the calculation:
The value obtained for the magnetic moment is 0.00 μB/f.u. For the density of states at the Fermi level, the calculation gives 5.1 states/eV per cell. The value obtained for the theoretical density is 6.95 g/cm³. As for the crystal system: orthorhombic.

a = 4.4344 Å, b = 7.2602 Å, c = 9.4403 Å
α = 90.00°, β = 103.58°, γ = 90.00°
Closest atoms and distances in Å follow each position.
Fractional positions:
Nd 0.1108 0.2500 0.2216  9 Cd 3.25-3.51, 2 Mg 3.60
Nd 0.8892 0.7500 0.7784  9 Cd 3.25-3.51, 2 Mg 3.60
Mg 0.2343 0.7500 0.4686  7 Cd 2.84-3.02
Mg 0.7657 0.2500 0.5314  7 Cd 2.84-3.02
Cd 0.5000 0.5000 0.0000  6 Cd 3.06-3.14
Cd 0.5000 0.0000 0.0000  6 Cd 3.06-3.14
Cd 0.6655 0.9526 0.3311  3 Mg 2.84-2.94, 2 Cd 2.94-3.06
Cd 0.3345 0.0474 0.6689  3 Mg 2.84-2.94, 2 Cd 2.94-3.06
Cd 0.3345 0.4526 0.6689  3 Mg 2.84-2.94, 2 Cd 2.94-3.06
Cd 0.6655 0.5474 0.3311  3 Mg 2.84-2.94, 2 Cd 2.94-3.06
Cd 0.0699 0.7500 0.1397  1 Mg 3.02, 8 Cd 3.14-3.19, 1 Nd 3.32
Cd 0.9301 0.2500 0.8603  1 Mg 3.02, 8 Cd 3.14-3.19, 1 Nd 3.32



#b
Computed, not measured: a relaxed structure of NdMgCd4 at the PBE level of DFT.

Values from the calculation:
The value obtained for the magnetic moment is 0.00 μB/f.u. For the density of states at the Fermi level, the calculation gives 2.8 states/eV per cell. The value obtained for the theoretical density is 7.04 g/cm³. As for the crystal system: monoclinic.

a = 4.9521 Å, b = 4.9517 Å, c = 6.8631 Å
α = 90.05°, β = 90.02°, γ = 120.01°
Closest atoms and distances in Å follow each position.
Fractional positions:
Nd 0.0042 0.4994 0.4981  12 Cd 3.37, 2 Mg 3.43
Mg 0.0030 0.4997 0.9979  12 Cd 3.29-3.31, 2 Nd 3.43
Cd 0.6703 0.8318 0.2387  3 Cd 2.86
Cd 0.3381 0.1669 0.7577  3 Cd 2.86
Cd 0.6715 0.8337 0.7575  3 Cd 2.86
Cd 0.3370 0.1651 0.2390  3 Cd 2.86



Which of them is the most stable, and which is the least stable? #b and #a, in that order.



#a
Computed, not measured: a relaxed structure of Nd3MgCd at the PBE level of DFT.

Values from the calculation:
The value obtained for the magnetic moment is 0.00 μB/f.u. For the density of states at the Fermi level, the calculation gives 18.4 states/eV per cell. The value obtained for the theoretical density is 6.23 g/cm³. As for the crystal system: monoclinic.

a = 7.0996 Å, b = 8.0319 Å, c = 10.8900 Å
α = 77.93°, β = 90.00°, γ = 90.00°
Closest atoms and distances in Å follow each position.
Fractional positions:
Nd 0.9834 0.7812 0.3287  3 Cd 3.28-3.59, 5 Nd 3.33-3.64, 3 Mg 3.47-3.55
Nd 0.0166 0.2188 0.6713  3 Cd 3.28-3.59, 5 Nd 3.33-3.64, 3 Mg 3.47-3.55
Nd 0.4834 0.2188 0.1713  3 Cd 3.28-3.59, 5 Nd 3.33-3.64, 3 Mg 3.47-3.55
Nd 0.5166 0.7812 0.8287  3 Cd 3.28-3.59, 5 Nd 3.33-3.64, 3 Mg 3.47-3.55
Nd 0.5144 0.7880 0.3416  3 Cd 3.31-3.57, 4 Nd 3.33-3.57, 3 Mg 3.45-3.67
Nd 0.4856 0.2120 0.6584  3 Cd 3.31-3.57, 4 Nd 3.33-3.57, 3 Mg 3.45-3.67
Nd 0.0144 0.2120 0.1584  3 Cd 3.31-3.57, 4 Nd 3.33-3.57, 3 Mg 3.45-3.67
Nd 0.9856 0.7880 0.8416  3 Cd 3.31-3.57, 4 Nd 3.33-3.57, 3 Mg 3.45-3.67
Nd 0.2425 0.6351 0.6060  4 Mg 3.23-3.60, 1 Cd 3.37, 4 Nd 3.47-3.57
Nd 0.7575 0.3649 0.3940  4 Mg 3.23-3.60, 1 Cd 3.37, 4 Nd 3.47-3.57
Nd 0.7425 0.3649 0.8940  4 Mg 3.23-3.60, 1 Cd 3.37, 4 Nd 3.47-3.57
Nd 0.2575 0.6351 0.1060  4 Mg 3.23-3.60, 1 Cd 3.37, 4 Nd 3.47-3.57
Mg 0.7527 0.5882 0.1105  1 Cd 2.88
Mg 0.2473 0.4118 0.8895  1 Cd 2.88
Mg 0.2527 0.4118 0.3895  1 Cd 2.88
Mg 0.7473 0.5882 0.6105  1 Cd 2.88
Cd 0.2307 0.0462 0.4550  1 Mg 2.88
Cd 0.7693 0.9538 0.5450  1 Mg 2.88
Cd 0.7307 0.9538 0.0450  1 Mg 2.88
Cd 0.2693 0.0462 0.9550  1 Mg 2.88



#b
Computed, not measured: a relaxed structure of Nd3MgCd at the PBE level of DFT.

Values from the calculation:
The value obtained for the magnetic moment is 0.00 μB/f.u. For the density of states at the Fermi level, the calculation gives 12.5 states/eV per cell. The value obtained for the theoretical density is 6.22 g/cm³. As for the crystal system: orthorhombic.

a = 5.4195 Å, b = 5.4129 Å, c = 10.7100 Å
α = 90.00°, β = 75.34°, γ = 90.00°
Closest atoms and distances in Å follow each position.
Fractional positions:
Nd 0.7623 0.2500 0.1238  2 Mg 3.32, 2 Cd 3.34, 2 Nd 3.70
Nd 0.3841 0.2500 0.8801  2 Mg 3.34, 2 Cd 3.36, 4 Nd 3.67-3.70
Nd 0.5741 0.2500 0.5001  4 Cd 3.34, 4 Mg 3.36
Nd 0.2642 0.7500 0.1199  2 Mg 3.34, 2 Cd 3.36, 4 Nd 3.67-3.70
Nd 0.8861 0.7500 0.8762  2 Mg 3.32, 2 Cd 3.34, 2 Nd 3.70
Nd 0.0742 0.7500 0.4999  4 Cd 3.34, 4 Mg 3.36
Mg 0.4784 0.7500 0.6916  8 Nd 3.32-3.36
Mg 0.1700 0.2500 0.3084  8 Nd 3.32-3.36
Cd 0.6682 0.7500 0.3119  8 Nd 3.34-3.36
Cd 0.9801 0.2500 0.6881  8 Nd 3.34-3.36



Which of them is the most stable, and which is the least stable? #b and #a, in that order.



#a
Computed, not measured: a relaxed structure of NdMg2Cd6 at the PBE level of DFT.

Values from the calculation:
The value obtained for the magnetic moment is 0.00 μB/f.u. For the density of states at the Fermi level, the calculation gives 12.9 states/eV per cell. The value obtained for the theoretical density is 5.32 g/cm³. As for the crystal system: cubic.

a = 9.1497 Å, b = 9.1497 Å, c = 9.1497 Å
α = 60.00°, β = 60.00°, γ = 60.00°
Closest atoms and distances in Å follow each position.
Fractional positions:
Nd 0.5000 0.5000 0.5000  6 Cd 3.15
Nd 0.7500 0.7500 0.7500  6 Cd 3.15
Mg 0.1250 0.1250 0.1250  6 Cd 2.85
Mg 0.1250 0.6250 0.1250  6 Cd 2.85
Mg 0.1250 0.1250 0.6250  6 Cd 2.85
Mg 0.6250 0.1250 0.1250  6 Cd 2.85
Cd 0.2566 0.2566 0.7434  2 Mg 2.85, 1 Nd 3.15
Cd 0.7434 0.7434 0.2566  2 Mg 2.85, 1 Nd 3.15
Cd 0.2566 0.7434 0.2566  2 Mg 2.85, 1 Nd 3.15
Cd 0.2566 0.7434 0.7434  2 Mg 2.85, 1 Nd 3.15
Cd 0.5066 0.5066 0.9934  2 Mg 2.85, 1 Nd 3.15
Cd 0.5066 0.9934 0.9934  2 Mg 2.85, 1 Nd 3.15
Cd 0.7434 0.2566 0.7434  2 Mg 2.85, 1 Nd 3.15
Cd 0.9934 0.9934 0.5066  2 Mg 2.85, 1 Nd 3.15
Cd 0.5066 0.9934 0.5066  2 Mg 2.85, 1 Nd 3.15
Cd 0.9934 0.5066 0.5066  2 Mg 2.85, 1 Nd 3.15
Cd 0.7434 0.2566 0.2566  2 Mg 2.85, 1 Nd 3.15
Cd 0.9934 0.5066 0.9934  2 Mg 2.85, 1 Nd 3.15



#b
Computed, not measured: a relaxed structure of NdMg2Cd6 at the PBE level of DFT.

Values from the calculation:
The value obtained for the magnetic moment is 0.18 μB/f.u. For the density of states at the Fermi level, the calculation gives 4.8 states/eV per cell. The value obtained for the theoretical density is 6.74 g/cm³. As for the crystal system: hexagonal.

a = 3.1518 Å, b = 8.8477 Å, c = 8.8477 Å
α = 120.00°, β = 90.00°, γ = 90.00°
Closest atoms and distances in Å follow each position.
Fractional positions:
Nd 0.0000 0.0000 0.0000  2 Nd 3.15, 12 Cd 3.38
Mg 0.0000 0.3333 0.6667  2 Mg 3.15, 12 Cd 3.32
Mg 0.0000 0.6667 0.3333  2 Mg 3.15, 12 Cd 3.32
Cd 0.5000 0.3385 0.3385  5 Cd 2.86-3.15
Cd 0.5000 0.6615 0.6615  5 Cd 2.86-3.15
Cd 0.5000 0.0000 0.6615  5 Cd 2.86-3.15
Cd 0.5000 0.6615 0.0000  5 Cd 2.86-3.15
Cd 0.5000 0.3385 0.0000  5 Cd 2.86-3.15
Cd 0.5000 0.0000 0.3385  5 Cd 2.86-3.15



Which of them is the most stable, and which is the least stable? #b and #a, in that order.



#a
Computed, not measured: a relaxed structure of NdMg2Cd3 at the PBE level of DFT.

Values from the calculation:
The value obtained for the magnetic moment is 0.00 μB/f.u. For the density of states at the Fermi level, the calculation gives 6.9 states/eV per cell. The value obtained for the theoretical density is 6.09 g/cm³. As for the crystal system: hexagonal.

a = 4.9484 Å, b = 4.9484 Å, c = 13.6384 Å
α = 90.00°, β = 90.00°, γ = 120.00°
Closest atoms and distances in Å follow each position.
Fractional positions:
Nd 0.0000 0.0000 0.2500  8 Cd 3.27-3.41, 6 Mg 3.55
Nd 0.0000 0.0000 0.7500  8 Cd 3.27-3.41, 6 Mg 3.55
Mg 0.6667 0.3333 0.4048  7 Cd 2.90-3.14
Mg 0.3333 0.6667 0.5952  7 Cd 2.90-3.14
Mg 0.3333 0.6667 0.9048  7 Cd 2.90-3.14
Mg 0.6667 0.3333 0.0952  7 Cd 2.90-3.14
Cd 0.0000 0.0000 0.5000  6 Mg 3.14, 6 Cd 3.39, 2 Nd 3.41
Cd 0.0000 0.0000 0.0000  6 Mg 3.14, 6 Cd 3.39, 2 Nd 3.41
Cd 0.6667 0.3333 0.6336  4 Mg 2.90-3.12, 1 Cd 3.17
Cd 0.3333 0.6667 0.1336  4 Mg 2.90-3.12, 1 Cd 3.17
Cd 0.6667 0.3333 0.8664  4 Mg 2.90-3.12, 1 Cd 3.17
Cd 0.3333 0.6667 0.3664  4 Mg 2.90-3.12, 1 Cd 3.17



#b
Computed, not measured: a relaxed structure of NdMg2Cd3 at the PBE level of DFT.

Values from the calculation:
The value obtained for the magnetic moment is 0.00 μB/f.u. For the density of states at the Fermi level, the calculation gives 6.9 states/eV per cell. The value obtained for the theoretical density is 5.87 g/cm³. As for the crystal system: orthorhombic.

a = 6.2332 Å, b = 7.0047 Å, c = 7.0047 Å
α = 101.49°, β = 90.00°, γ = 90.00°
Closest atoms and distances in Å follow each position.
Fractional positions:
Nd 0.2500 0.3551 0.3551  7 Cd 3.23-3.52, 4 Mg 3.60
Nd 0.7500 0.6449 0.6449  7 Cd 3.23-3.52, 4 Mg 3.60
Mg 0.5000 0.7750 0.2250  6 Cd 2.84-3.12, 2 Mg 3.12
Mg 0.0000 0.7750 0.2250  6 Cd 2.84-3.12, 2 Mg 3.12
Mg 0.0000 0.2250 0.7750  6 Cd 2.84-3.12, 2 Mg 3.12
Mg 0.5000 0.2250 0.7750  6 Cd 2.84-3.12, 2 Mg 3.12
Cd 0.7500 0.4290 0.1462  4 Mg 2.84-3.12, 2 Cd 2.90-3.07
Cd 0.7500 0.1462 0.4290  4 Mg 2.84-3.12, 2 Cd 2.90-3.07
Cd 0.2500 0.5710 0.8538  4 Mg 2.84-3.12, 2 Cd 2.90-3.07
Cd 0.7500 0.0095 0.0095  4 Mg 2.90, 4 Cd 2.90-3.12, 1 Nd 3.23
Cd 0.2500 0.9905 0.9905  4 Mg 2.90, 4 Cd 2.90-3.12, 1 Nd 3.23
Cd 0.2500 0.8538 0.5710  4 Mg 2.84-3.12, 2 Cd 2.90-3.07



Which of them is the most stable, and which is the least stable? #a and #b, in that order.